Record 1
GGA-PBE Cs2BaSbSe4, relaxed; N(E_F) = 0.611 states/eV/atom; raw total energy = -3.606 eV per atom
1.0
-2.4317 -6.0962 -3.4682
3.8474 -7.3322 2.2464
-10.6778 -4.9541 8.2503
Cs Se Ba Sb
4 8 2 2
direct
0.9392 0.5000 0.1217
0.5608 0.5000 0.8783
0.8108 0.0000 0.3783
0.1892 0.0000 0.6217
0.3944 0.7178 0.3984
0.8878 0.7178 0.6016
0.5106 0.2822 0.6016
0.2072 0.2822 0.3984
0.5429 0.2178 0.1016
0.8622 0.7822 0.8984
0.3556 0.7822 0.1016
0.2394 0.2178 0.8984
0.0000 0.0000 0.0000
0.7500 0.5000 0.5000
0.5000 0.0000 0.0000
0.2500 0.5000 0.5000

Record 2
GGA-PBE Cs2BaSnSb2, relaxed; N(E_F) = 0.030 states/eV/atom; raw total energy = -3.226 eV per atom
1.0
4.8453 0.0000 0.0000
0.0000 10.2193 0.0000
0.0000 0.0000 10.5967
Cs Sb Ba Sn
4 4 2 2
direct
0.5000 0.5635 0.9112
0.0000 0.3830 0.1947
0.0000 0.8830 0.8053
0.5000 0.0635 0.0888
0.5000 0.7208 0.5596
0.0000 0.2798 0.8392
0.5000 0.2208 0.4404
0.0000 0.7798 0.1608
0.0000 0.4451 0.5569
0.0000 0.9451 0.4431
0.5000 0.6533 0.2929
0.5000 0.1533 0.7071

Record 3
GGA-PBE CsBaSbTe2, relaxed; N(E_F) = 1.549 states/eV/atom; raw total energy = -2.445 eV per atom
1.0
-4.8876 -3.9723 1.0189
1.7540 -3.4579 -5.0668
3.5610 -3.4597 3.5939
Cs Te Sb Ba
1 2 1 1
direct
0.0000 0.0000 0.0000
0.0000 0.5000 0.0000
0.5000 0.0000 0.0000
0.0000 0.0000 0.5000
0.5000 0.5000 0.5000

Record 4
GGA-PBE CsBaSbTe2, relaxed; N(E_F) = 1.387 states/eV/atom; raw total energy = -2.871 eV per atom
1.0
6.6394 0.0000 0.0000
0.0000 6.6394 0.0000
0.0000 0.0000 6.6622
Sb Te Cs Ba
1 2 1 1
direct
0.0000 0.0000 0.5000
0.5000 0.0000 0.0000
0.0000 0.5000 0.0000
0.5000 0.5000 0.5000
0.0000 0.0000 0.0000

Record 5
GGA-PBE CsBaTl4Sb2, relaxed; N(E_F) = 0.418 states/eV/atom; raw total energy = -2.901 eV per atom
1.0
4.8360 0.0000 0.0000
0.0000 4.8360 0.0000
0.0000 0.0000 13.7478
Ba Tl Sb Cs
1 4 2 1
direct
0.0000 0.0000 0.5000
0.5000 0.0000 0.7658
0.5000 0.0000 0.2342
0.0000 0.5000 0.7658
0.0000 0.5000 0.2342
0.5000 0.5000 0.6085
0.5000 0.5000 0.3915
0.0000 0.0000 0.0000

Record 6
GGA-PBE Cs2BaTlSb2, relaxed; N(E_F) = 0.415 states/eV/atom; raw total energy = -2.914 eV per atom
1.0
5.3421 0.0000 0.0000
0.0000 9.2062 0.0000
0.0000 0.0000 10.7378
Tl Ba Cs Sb
2 2 4 4
direct
0.5000 0.1490 0.6724
0.5000 0.6490 0.3276
0.0000 0.4925 0.5387
0.0000 0.9925 0.4613
0.5000 0.0244 0.0901
0.0000 0.8513 0.8335
0.0000 0.3513 0.1665
0.5000 0.5244 0.9099
0.5000 0.2754 0.4058
0.0000 0.7530 0.1978
0.0000 0.2530 0.8022
0.5000 0.7754 0.5942

Record 7
GGA-PBE Cs2BaZnSb2, relaxed; raw total energy = -2.711 eV per atom
1.0
-0.3752 7.9188 0.5507
-7.3350 -0.5309 2.6369
6.7505 -4.1110 6.3762
Ba Zn Cs Sb
2 2 4 4
direct
0.0000 0.7500 0.0000
0.0000 0.2500 0.0000
0.5000 0.7500 0.0000
0.5000 0.2500 0.0000
0.5430 0.8233 0.6466
0.1036 0.3233 0.6466
0.8964 0.6767 0.3534
0.4570 0.1767 0.3534
0.6113 0.4143 0.8286
0.7827 0.0857 0.1714
0.3887 0.5857 0.1714
0.2173 0.9143 0.8286

Record 8
GGA-PBE Cs2BaZrSb, relaxed; N(E_F) = 1.508 states/eV/atom; raw total energy = -2.121 eV per atom
1.0
6.6867 0.0000 0.0000
0.0000 5.7339 0.0000
0.0000 0.0000 6.6867
Cs Sb Zr Ba
2 1 1 1
direct
0.0000 0.0000 0.5000
0.5000 0.0000 0.0000
0.5000 0.5000 0.5000
0.0000 0.5000 0.0000
0.0000 0.0000 0.0000